Material: RbZn3Cr
Method: DFT, GGA-PBE
State: optimized geometry

a b c (Å): 6.314 6.314 6.314
angles (deg): 90.00 90.00 90.00
Fractional coordinates of all 5 atoms:
Rb 0.000 0.000 0.000
Zn 0.000 0.000 0.500
Zn 0.000 0.500 0.000
Zn 0.500 0.000 0.000
Cr 0.500 0.500 0.500

The symmetry is No. 221. The calculation puts the energy relative to the lowest polymorph listed for this composition at 4.65 eV/f.u. The formation energy from the elements is 1.340 eV/atom. The total magnetic moment is 5.167 μB/cell.